K2AlIr, optimized geometry, DFT GGA-PBE; E_form = -8 kJ/mol of formula units; crystal system = monoclinic
1.0
10.159 -1.536 0.000
10.159 1.536 0.000
-0.750 0.000 3.956
K Al Ir
2 1 1
direct
0.146 0.146 0.138
0.854 0.854 0.862
0.000 0.000 0.500
0.500 0.500 0.000